Entry 1:
Entry from OQMD via LeMat-Bulk: a relaxed NaZn crystal (GGA-PBE).

Values from the calculation:
The crystal system is orthorhombic. The calculation puts the final energy at -2.38 eV per formula unit. The calculation puts the mass density at 3.5 g/cm³.

a b c (Å): 6.6788 15.8665 4.7888
angles (deg): 90.00 90.00 90.00
Closest atoms and distances in Å follow each position.
Space group Pbcm (No. 57)
Asymmetric unit:
Na  0.1042  0.0393  0.2500  5 Zn 3.00-3.35, 6 Na 3.04-3.16
Na  0.3647  0.5144  0.2500  6 Na 3.03-3.25, 5 Zn 3.16-3.36
Na  0.3874  0.1907  0.2500  4 Na 3.04-3.25, 7 Zn 3.14-3.30
Zn  0.0727  0.1582  0.7500  4 Zn 2.62-2.86
Zn  0.1430  0.6968  0.2500  8 Zn 2.71-2.93, 1 Na 3.00
Zn  0.3180  0.6424  0.7500  4 Zn 2.62-2.81

=====

Entry 2:
Entry from OQMD via LeMat-Bulk: a relaxed NaZn crystal (GGA-PBE).

Values from the calculation:
The crystal system is orthorhombic. The calculation puts the final energy at -2.42 eV per formula unit. The calculation puts the mass density at 3.6 g/cm³.

a b c (Å): 6.6506 5.2073 4.6643
angles (deg): 90.00 90.00 90.00
Closest atoms and distances in Å follow each position.
Space group Pbcm (No. 57)
Asymmetric unit:
Na  0.1516  0.0483  0.2500  4 Zn 2.83-3.07, 4 Na 3.12-3.14
Zn  0.4259  0.6104  0.2500  6 Zn 2.75-2.78, 4 Na 2.83-3.07

=====

Entry 3:
Entry from OQMD via LeMat-Bulk: a relaxed NaZr2Zn crystal (GGA-PBE).

Values from the calculation:
The value obtained for the spin magnetization is 2.95 μB/f.u. The crystal system is cubic. The calculation puts the final energy at -17.66 eV per formula unit. The calculation puts the mass density at 5.1 g/cm³.

a b c (Å): 7.0561 7.0561 7.0561
angles (deg): 90.00 90.00 90.00
Closest atoms and distances in Å follow each position.
Space group F-43m (No. 216)
Asymmetric unit:
Na  0.0000  0.0000  0.0000  4 Zn 3.06, 4 Zr 3.06
Zr  0.0000  0.0000  0.5000  4 Zr 3.06, 4 Zn 3.06
Zr  0.2500  0.2500  0.2500  4 Zr 3.06, 4 Na 3.06
Zn  0.2500  0.2500  0.7500  4 Zr 3.06, 4 Na 3.06

=====

Entry 4:
Entry from OQMD via LeMat-Bulk: a relaxed NaZrZn crystal (GGA-PBE).

Values from the calculation:
The value obtained for the spin magnetization is 0.00 μB/f.u. The crystal system is cubic. The calculation puts the final energy at -8.22 eV per formula unit. The calculation puts the mass density at 4.5 g/cm³.

a b c (Å): 6.4352 6.4352 6.4352
angles (deg): 90.00 90.00 90.00
Closest atoms and distances in Å follow each position.
Space group F-43m (No. 216)
Asymmetric unit:
Na  0.0000  0.0000  0.0000  4 Zr 2.79, 4 Zn 2.79
Zr  0.2500  0.2500  0.2500  4 Na 2.79
Zn  0.2500  0.2500  0.7500  4 Na 2.79

=====

Entry 5:
Entry from OQMD via LeMat-Bulk: a relaxed NaZr2 crystal (GGA-PBE).

Values from the calculation:
The value obtained for the spin magnetization is 0.02 μB/f.u. The crystal system is orthorhombic. The calculation puts the final energy at -17.50 eV per formula unit. The calculation puts the mass density at 4.5 g/cm³. The calculation puts the energy above the most stable polymorph in this dataset at 0 meV per atom.

a b c (Å): 3.0464 18.5086 5.4255
angles (deg): 90.00 90.00 90.00
Closest atoms and distances in Å follow each position.
Space group Cmcm (No. 63)
Asymmetric unit:
Na  0.0000  0.0463  0.2500  4 Na 3.05-3.21
Zr  0.0000  0.2784  0.7500  10 Zr 2.98-3.28
Zr  0.0000  0.3602  0.2500  6 Zr 2.98-3.11

=====

Entry 6:
Entry from OQMD via LeMat-Bulk: a relaxed NaZr2 crystal (GGA-PBE).

Values from the calculation:
The value obtained for the spin magnetization is 0.01 μB/f.u. The crystal system is orthorhombic. The calculation puts the final energy at -16.95 eV per formula unit. The calculation puts the mass density at 4.7 g/cm³. The calculation puts the energy above the most stable polymorph in this dataset at 183 meV per atom.

a b c (Å): 5.1272 9.4094 5.9695
angles (deg): 90.00 90.00 90.00
Closest atoms and distances in Å follow each position.
Space group Pmmn (No. 59, origin choice 2)
Asymmetric unit:
Na  0.2500  0.0891  0.0775  3 Na 3.03-3.20, 7 Zr 3.22-3.35
Zr  0.2500  0.2500  0.5616  8 Zr 3.07-3.17, 4 Na 3.26-3.43
Zr  0.2500  0.5863  0.5894  7 Zr 3.02-3.22, 3 Na 3.24-3.35
Zr  0.2500  0.7500  0.1544  4 Zr 3.02-3.07, 6 Na 3.22-3.28

=====

Entry 7:
Entry from OQMD via LeMat-Bulk: a relaxed NaZr2 crystal (GGA-PBE).

Values from the calculation:
The value obtained for the spin magnetization is 0.06 μB/f.u. The crystal system is monoclinic. The calculation puts the final energy at -17.19 eV per formula unit. The calculation puts the mass density at 4.8 g/cm³. The calculation puts the energy above the most stable polymorph in this dataset at 103 meV per atom.

a b c (Å): 8.6956 5.1393 13.0399
angles (deg): 90.00 100.12 90.00
Closest atoms and distances in Å follow each position.
Space group P2_1/m (No. 11)
Asymmetric unit:
Na  0.0958  0.2500  0.2625  4 Na 3.09-3.22, 8 Zr 3.17-3.39
Na  0.1042  0.2500  0.7591  6 Na 3.09-3.18, 5 Zr 3.22-3.44
Na  0.2249  0.7500  0.8891  4 Na 3.00-3.15, 6 Zr 3.23-3.32
Na  0.2361  0.7500  0.6605  4 Na 3.00-3.22, 6 Zr 3.21-3.34
Zr  0.1011  0.2500  0.5117  6 Zr 3.10-3.23, 5 Na 3.22-3.37
Zr  0.1079  0.2500  0.0079  7 Zr 3.13-3.33, 5 Na 3.24-3.40
Zr  0.2313  0.7500  0.1379  7 Zr 3.01-3.22, 3 Na 3.23-3.36
Zr  0.2344  0.7500  0.4141  7 Zr 3.08-3.23, 4 Na 3.21-3.38
Zr  0.4136  0.2500  0.1748  8 Zr 3.01-3.26, 1 Na 3.17
Zr  0.4336  0.2500  0.4377  10 Zr 3.08-3.40, 2 Na 3.34-3.39
Zr  0.4536  0.2500  0.9310  8 Zr 3.03-3.33, 3 Na 3.24-3.32
Zr  0.4714  0.2500  0.6870  8 Zr 3.08-3.23, 2 Na 3.26

=====

Entry 8:
Entry from OQMD via LeMat-Bulk: a relaxed NaZr2 crystal (GGA-PBE).

Values from the calculation:
The value obtained for the spin magnetization is 0.01 μB/f.u. The crystal system is orthorhombic. The calculation puts the final energy at -16.79 eV per formula unit. The calculation puts the mass density at 4.6 g/cm³. The calculation puts the energy above the most stable polymorph in this dataset at 238 meV per atom.

a b c (Å): 10.7564 5.4134 5.0430
angles (deg): 90.00 90.00 90.00
Closest atoms and distances in Å follow each position.
Space group Cmcm (No. 63)
Asymmetric unit:
Na  0.0000  0.1693  0.2500  2 Na 3.12, 10 Zr 3.29-3.46
Zr  0.1785  0.3348  0.7500  6 Zr 3.09-3.11, 5 Na 3.29-3.46